Entry 1:
VASP calculation (PBE-GGA) on a relaxed structure of HgSe.

Geometry as POSCAR:
```
HgSe
1.0
1.1754 4.0247 1.8742
-1.9397 -0.1161 -4.1613
-11.3958 0.8659 5.2877
Se Hg
4 4
direct
0.3333 0.6667 0.7500
0.0000 0.0000 0.7500
0.0000 0.0000 0.2500
0.6667 0.3333 0.2500
0.6667 0.3333 0.5590
0.3333 0.6667 0.0590
0.3333 0.6667 0.4410
0.6667 0.3333 0.9410
```

Calculated values
ρ: 8.07 g cm⁻³
Space-group type: P6_3/mmc, No. 194
M_tot: 0.00 μB per formula unit
Raw formation energy: 0.23 eV per atom
Energy: -13.34 eV per cell

---

Entry 2:
VASP calculation (PBE-GGA) on a relaxed structure of SmYCl6.

Geometry as POSCAR:
```
SmYCl6
1.0
-2.0089 5.8875 -2.7461
-5.4474 3.2269 2.4825
1.1448 6.1251 3.8704
Y Cl Sm
1 6 1
direct
0.5000 0.5000 0.5000
0.2539 0.8937 0.2527
0.5997 0.2538 0.2529
0.7461 0.1063 0.7473
0.4003 0.7462 0.7471
0.8938 0.5996 0.2529
0.1062 0.4004 0.7471
0.0000 0.0000 0.0000
```

Calculated values
ρ: 3.03 g cm⁻³
Space-group type: R-3, No. 148
M_tot: 0.00 μB per formula unit
Raw formation energy: -2.25 eV per atom
Energy: -40.23 eV per cell